Entry from the Alexandria database: a relaxed structure of BeGaTc3 (GGA-PBEsol).

Output
The space group is Pm-3m (221). The value obtained for the magnetic moment is 0.004 μB/cell. For the total energy, the calculation gives -7.57 eV per atom. The formation energy is 0.655 eV per atom.

abc: 4.086 4.086 4.086
angles: 90.00 90.00 90.00
Element x y z (fractional)
Be: 0.000 0.000 0.000
Tc: 0.000 0.500 0.000
Tc: 0.000 0.000 0.500
Tc: 0.500 0.000 0.000
Ga: 0.500 0.500 0.500

---

Entry from the Alexandria database: a relaxed structure of SrTlAu2 (GGA-PBEsol).

Output
The space group is Pm (6). The value obtained for the magnetic moment is 0.000 μB/cell. For the total energy, the calculation gives -3.50 eV per atom. The formation energy is -0.424 eV per atom.

abc: 4.139 4.475 5.787
angles: 90.00 110.85 90.00
Element x y z (fractional)
Sr: 0.521 0.000 0.417
Tl: 0.229 0.500 0.833
Au: 0.800 0.000 0.972
Au: 0.951 0.500 0.278

---

Entry from the Alexandria database: a relaxed structure of Zr3Al5 (GGA-PBEsol).

Output
The space group is Cmmm (65). The value obtained for the magnetic moment is 0.000 μB/cell. For the total energy, the calculation gives -6.41 eV per atom. The formation energy is -0.444 eV per atom.

abc: 4.054 5.962 5.962
angles: 90.71 90.00 90.00
Element x y z (fractional)
Al: 0.000 0.000 0.000
Al: 0.000 0.500 0.000
Al: 0.000 0.000 0.500
Al: 0.500 0.743 0.257
Al: 0.500 0.257 0.743
Zr: 0.000 0.500 0.500
Zr: 0.500 0.764 0.764
Zr: 0.500 0.236 0.236

---

Entry from the Alexandria database: a relaxed structure of YIn (GGA-PBEsol).

Output
The space group is Imma (74). The value obtained for the magnetic moment is 0.000 μB/cell. For the total energy, the calculation gives -5.40 eV per atom. The formation energy is -0.497 eV per atom.

abc: 3.796 5.012 6.271
angles: 113.56 107.62 90.00
Element x y z (fractional)
Y: 0.881 0.131 0.763
Y: 0.119 0.869 0.237
In: 0.357 0.607 0.713
In: 0.643 0.393 0.287

---

Entry from the Alexandria database: a relaxed structure of ScRu3 (GGA-PBEsol).

Output
The space group is P2/m (10). The value obtained for the magnetic moment is 0.000 μB/cell. For the total energy, the calculation gives -9.23 eV per atom. The formation energy is 0.055 eV per atom.

abc: 2.703 4.090 5.378
angles: 90.00 102.74 90.00
Element x y z (fractional)
Ru: 0.917 0.000 0.761
Ru: 0.083 0.000 0.239
Ru: 0.500 0.500 0.000
Sc: 0.500 0.500 0.500

---

Entry from the Alexandria database: a relaxed structure of CoW2Cl (GGA-PBEsol).

Output
Its polymorph energy (0 for the lowest one) is 353 meV/atom. The space group is Immm (71). The value obtained for the magnetic moment is 1.129 μB/cell. The uncorrected formation energy comes out at 0.8350 eV per atom. For the total energy, the calculation gives -8.51 eV per atom.

abc: 2.873 4.470 5.162
angles: 115.66 106.16 90.00
Each line ends with the local moment (μB).
Element x y z (fractional)
Co: 0.000 0.500 0.000  1.19
W: 0.769 0.769 0.537  -0.03
W: 0.231 0.231 0.463  -0.03
Cl: 0.500 0.000 0.000  0.06

---

Entry from the Alexandria database: a relaxed structure of Zr8As5 (GGA-PBEsol).

Output
Its polymorph energy (0 for the lowest one) is 15 meV/atom. The space group is Pmc2_1 (26). The value obtained for the magnetic moment is 0.001 μB/cell. For the total energy, the calculation gives -8.56 eV per atom. The formation energy is -1.007 eV per atom.

abc: 3.688 10.058 28.344
angles: 90.00 90.00 90.00
Element x y z (fractional)
Zr: 0.500 0.263 0.419
Zr: 0.500 0.237 0.582
Zr: 0.500 0.737 0.919
Zr: 0.500 0.763 0.082
Zr: 0.500 0.579 0.381
Zr: 0.500 0.917 0.618
Zr: 0.500 0.421 0.881
Zr: 0.500 0.083 0.118
Zr: 0.500 0.259 0.236
Zr: 0.500 0.241 0.765
Zr: 0.500 0.741 0.736
Zr: 0.500 0.759 0.265
Zr: 0.500 0.415 0.127
Zr: 0.500 0.082 0.873
Zr: 0.500 0.585 0.627
Zr: 0.500 0.918 0.373
Zr: 0.000 0.668 0.171
Zr: 0.000 0.835 0.830
Zr: 0.000 0.332 0.671
Zr: 0.000 0.165 0.330
Zr: 0.000 0.252 0.501
Zr: 0.000 0.748 0.001
Zr: 0.500 0.473 0.009
Zr: 0.500 0.019 0.992
Zr: 0.500 0.527 0.509
Zr: 0.500 0.981 0.492
Zr: 0.000 0.505 0.284
Zr: 0.000 0.993 0.716
Zr: 0.000 0.495 0.784
Zr: 0.000 0.007 0.216
Zr: 0.000 0.759 0.444
Zr: 0.000 0.241 0.944
As: 0.000 0.469 0.441
As: 0.000 0.033 0.561
As: 0.000 0.531 0.941
As: 0.000 0.967 0.061
As: 0.000 0.562 0.077
As: 0.000 0.942 0.925
As: 0.000 0.438 0.577
As: 0.000 0.058 0.425
As: 0.500 0.517 0.214
As: 0.500 0.982 0.785
As: 0.500 0.483 0.714
As: 0.500 0.018 0.285
As: 0.500 0.358 0.329
As: 0.500 0.138 0.671
As: 0.500 0.642 0.829
As: 0.500 0.862 0.171
As: 0.000 0.237 0.164
As: 0.000 0.264 0.838
As: 0.000 0.763 0.664
As: 0.000 0.736 0.338

---

Entry from the Alexandria database: a relaxed structure of SiHgCl2 (GGA-PBEsol).

Output
Its polymorph energy (0 for the lowest one) is 0 meV/atom. The space group is P4mm (99). The value obtained for the magnetic moment is 0.000 μB/cell. The uncorrected formation energy comes out at -0.3068 eV per atom. For the total energy, the calculation gives -2.89 eV per atom.

abc: 3.742 3.742 8.445
angles: 90.00 90.00 90.00
Element x y z (fractional)
Cl: 0.000 0.000 0.911
Cl: 0.500 0.500 0.178
Hg: 0.000 0.000 0.479
Si: 0.500 0.500 0.932

---

Entry from the Alexandria database: a relaxed structure of ScCdPb2 (GGA-PBEsol).

Output
The space group is Pm (6). The value obtained for the magnetic moment is 0.000 μB/cell. For the total energy, the calculation gives -4.10 eV per atom. The formation energy is -0.152 eV per atom.

abc: 3.482 4.946 6.062
angles: 90.00 106.73 90.00
Element x y z (fractional)
Pb: 0.025 0.000 0.926
Pb: 0.729 0.500 0.332
Sc: 0.291 0.000 0.455
Cd: 0.455 0.500 0.786

---

Entry from the Alexandria database: a relaxed structure of Sc2GeB2Ir5 (GGA-PBEsol).

Output
The space group is P4/mbm (127). The value obtained for the magnetic moment is 0.000 μB/cell. For the total energy, the calculation gives -8.94 eV per atom. The formation energy is -0.810 eV per atom.

abc: 3.138 9.191 9.191
angles: 90.00 90.00 90.00
Element x y z (fractional)
Sc: 0.000 0.675 0.175
Sc: 0.000 0.325 0.825
Sc: 0.000 0.175 0.325
Sc: 0.000 0.825 0.675
Ge: 0.000 0.000 0.000
Ge: 0.000 0.500 0.500
B: 0.000 0.124 0.624
B: 0.000 0.876 0.376
B: 0.000 0.624 0.876
B: 0.000 0.376 0.124
Ir: 0.500 0.215 0.071
Ir: 0.500 0.785 0.929
Ir: 0.500 0.071 0.785
Ir: 0.500 0.715 0.429
Ir: 0.500 0.929 0.215
Ir: 0.500 0.285 0.571
Ir: 0.500 0.571 0.715
Ir: 0.500 0.429 0.285
Ir: 0.500 0.500 0.000
Ir: 0.500 0.000 0.500

---

Entry from the Alexandria database: a relaxed structure of LiMg2Cr (GGA-PBEsol).

Output
The space group is P4/mmm (123). The value obtained for the magnetic moment is 3.657 μB/cell. For the total energy, the calculation gives -3.58 eV per atom. The formation energy is 0.332 eV per atom.

abc: 3.160 4.823 4.823
angles: 90.00 90.00 90.00
Each line ends with the local moment (μB).
Element x y z (fractional)
Cr: 0.500 0.500 0.500  3.46
Li: 0.500 0.000 0.000  -0.02
Mg: 0.000 0.000 0.500  -0.02
Mg: 0.000 0.500 0.000  -0.02

---

Entry from the Alexandria database: a relaxed structure of MgH2SO5 (GGA-PBEsol).

Output
The space group is C2/c (15). The value obtained for the magnetic moment is 0.000 μB/cell. For the total energy, the calculation gives -6.05 eV per atom.

abc: 5.161 5.161 7.515
angles: 106.46 106.46 99.53
Element x y z (fractional)
Mg: 0.500 0.000 0.000
Mg: 0.000 0.500 0.500
H: 0.049 0.140 0.207
H: 0.860 0.951 0.293
H: 0.951 0.860 0.793
H: 0.140 0.049 0.707
S: 0.585 0.415 0.750
S: 0.415 0.585 0.250
O: 0.712 0.330 0.598
O: 0.670 0.288 0.902
O: 0.288 0.670 0.402
O: 0.330 0.712 0.098
O: 0.676 0.728 0.842
O: 0.272 0.324 0.658
O: 0.324 0.272 0.158
O: 0.728 0.676 0.342
O: 0.120 0.880 0.750
O: 0.880 0.120 0.250